(1)
Below is an optimized crystal structure of BaSnSb2, with properties calculated at the GGA-PBE level.

Cell lengths 8.3661, 8.3661, 7.4121 Å; angles 55.64, 55.64, 90.00 degrees
Atoms (fractional coordinates):
1 Sb 0.8750 0.8086 0.7500
2 Ba 0.7500 0.2500 0.5000
3 Sn 0.5000 0.5000 0.0000
4 Sb 0.3750 0.4414 0.7500
5 Sb 0.1914 0.6250 0.2500
6 Sb 0.5586 0.1250 0.2500
7 Ba 0.0000 0.0000 0.0000
8 Sn 0.2500 0.7500 0.5000

## Properties
**DOS(E_F)**: 0.19 states/eV/f.u.
**Space-group type**: I-42d (122)
**Calculated total energy**: -31.74 eV/cell
**Raw formation energy**: -0.4245 eV per atom

=====

(2)
Below is an optimized crystal structure of Ac6TlGe2, with properties calculated at the GGA-PBE level.

Cell lengths 6.3227, 7.1003, 8.8470 Å; angles 82.18, 69.06, 63.56 degrees
Atoms (fractional coordinates):
1 Ac 0.9766 0.8642 0.1827
2 Ac 0.0234 0.1358 0.8173
3 Ac 0.6037 0.2370 0.5557
4 Tl 0.0000 0.5000 0.5000
5 Ac 0.6982 0.7204 0.8832
6 Ac 0.3963 0.7630 0.4443
7 Ac 0.3018 0.2796 0.1168
8 Ge 0.7232 0.3801 0.1736
9 Ge 0.2768 0.6199 0.8264

## Properties
**ΔH_f (0 K)**: -319 meV per atom
**DOS(E_F)**: 10.73 states/eV/f.u.
**Space-group type**: C2/m (12)
**Calculated total energy**: -39.12 eV/cell
**Energy relative to the lowest polymorph listed for this composition**: 109.2 meV per atom

=====

(3)
Below is an optimized crystal structure of PmGdRhPb, with properties calculated at the GGA-PBE level.

Cell lengths 5.2422, 5.2422, 5.2422 Å; angles 60.00, 60.00, 60.00 degrees
Atoms (fractional coordinates):
1 Rh 0.0000 0.0000 0.0000
2 Gd 0.7500 0.7500 0.7500
3 Pm 0.2500 0.2500 0.2500
4 Pb 0.5000 0.5000 0.5000

## Properties
**ΔH_f (0 K)**: -476 meV per atom
**DOS(E_F)**: 3.40 states/eV/f.u.
**Space-group type**: F-43m (216)
**Calculated total energy**: -31.80 eV/cell

=====

(4)
Below is an optimized crystal structure of CaBeTl2, with properties calculated at the GGA-PBE level.

Cell lengths 4.3865, 4.3865, 6.4484 Å; angles 70.07, 70.07, 60.00 degrees
Atoms (fractional coordinates):
1 Tl 0.0273 0.0273 0.9186
2 Ca 0.2500 0.2500 0.2500
3 Be 0.7500 0.7500 0.7500
4 Tl 0.4727 0.4727 0.5814

## Properties
**ΔH_f (0 K)**: 66 meV per atom
**DOS(E_F)**: 1.60 states/eV/f.u.
**Space-group type**: R-3m (166)
**Calculated total energy**: -10.20 eV/cell
**Energy relative to the lowest polymorph listed for this composition**: 0.0 meV per atom

=====

(5)
Below is an optimized crystal structure of Rb2PPdI6, with properties calculated at the GGA-PBE level.

Cell lengths 8.0526, 8.0526, 8.0239 Å; angles 59.88, 59.88, 90.00 degrees
Atoms (fractional coordinates):
1 I 0.7497 0.7497 0.0000
2 P 0.5000 0.5000 0.0000
3 Rb 0.7500 0.2500 0.5000
4 I 0.2502 0.2502 0.4996
5 I 0.2503 0.7497 0.0000
6 I 0.7498 0.7498 0.5004
7 Rb 0.2500 0.7500 0.5000
8 Pd 0.0000 0.0000 0.0000
9 I 0.7497 0.2503 0.0000
10 I 0.2503 0.2503 0.0000

## Properties
**DOS(E_F)**: 3.00 states/eV/f.u.
**Space-group type**: I4/mmm (139)
**Calculated total energy**: -27.81 eV/cell
**Raw formation energy**: -0.5968 eV per atom

=====

(6)
Below is an optimized crystal structure of TmMgNi2, with properties calculated at the GGA-PBE level.

Cell lengths 4.5315, 4.5315, 4.5315 Å; angles 60.00, 60.00, 60.00 degrees
Atoms (fractional coordinates):
1 Ni 0.7500 0.7500 0.7500
2 Mg 0.5000 0.5000 0.5000
3 Tm 0.0000 0.0000 0.0000
4 Ni 0.2500 0.2500 0.2500

## Properties
**ΔH_f (0 K)**: -314 meV per atom
**DOS(E_F)**: 2.42 states/eV/f.u.
**Space-group type**: Fm-3m (225)
**Calculated total energy**: -18.89 eV/cell
**Energy relative to the lowest polymorph listed for this composition**: 16.2 meV per atom

=====

(7)
Below is an optimized crystal structure of CdAsW2, with properties calculated at the GGA-PBE level.

Cell lengths 4.3868, 2.8432, 5.7072 Å; angles 75.81, 90.00, 90.00 degrees
Atoms (fractional coordinates):
1 As 0.5000 0.2500 0.2500
2 W 0.0000 0.1907 0.0091
3 W 0.0000 0.3093 0.4909
4 Cd 0.5000 0.7500 0.7500

## Properties
**ΔH_f (0 K)**: 647 meV per atom
**DOS(E_F)**: 2.70 states/eV/f.u.
**Space-group type**: P2/m (10)
**Calculated total energy**: -28.88 eV/cell
**Energy relative to the lowest polymorph listed for this composition**: 311.5 meV per atom

=====

(8)
Below is an optimized crystal structure of PaZn4Co, with properties calculated at the GGA-PBE level.

Cell lengths 4.1093, 6.4510, 7.4563 Å; angles 90.00, 90.00, 90.00 degrees
Atoms (fractional coordinates):
1 Zn 0.5000 0.2946 0.9549
2 Zn 0.5000 0.0435 0.2500
3 Pa 0.0000 0.5919 0.7500
4 Zn 0.5000 0.2946 0.5451
5 Zn 0.0000 0.0000 0.0000
6 Zn 0.5000 0.9565 0.7500
7 Co 0.0000 0.2481 0.7500
8 Zn 0.0000 0.0000 0.5000
9 Pa 0.0000 0.4081 0.2500
10 Zn 0.5000 0.7054 0.0451
11 Zn 0.5000 0.7054 0.4549
12 Co 0.0000 0.7519 0.2500

## Properties
**ΔH_f (0 K)**: -180 meV per atom
**DOS(E_F)**: 4.02 states/eV/f.u.
**Space-group type**: Pmma (51)
**Calculated total energy**: -45.55 eV/cell
**Energy relative to the lowest polymorph listed for this composition**: 0.0 meV per atom